one) # Li2BeSe

A geometry-optimized Li2BeSe structure (PBE-GGA, Alexandria via LeMat-Bulk).

Computed properties:
Spin magnetization   0.0 Bohr magnetons per cell
SG   Fm-3m, No. 225

Lattice parameters (Å, degrees): 4.4388 4.4388 4.4388 60.00 60.00 60.00
Element x y z (fractional)
Li (0.2500, 0.2500, 0.2500)
Li (0.7500, 0.7500, 0.7500)
Be (0.0000, 0.0000, 0.0000)
Se (0.5000, 0.5000, 0.5000)

two) # Li2BeSe

A geometry-optimized Li2BeSe structure (PBE-GGA, Alexandria via LeMat-Bulk).

Computed properties:
Spin magnetization   0.0 Bohr magnetons per cell
SG   I-42d, No. 122

Lattice parameters (Å, degrees): 9.2787 9.2787 9.2787 157.15 157.15 32.53
Element x y z (fractional)
Li (0.1144, 0.6250, 0.9894)
Li (0.3750, 0.3644, 0.4894)
Li (0.6356, 0.1250, 0.0106)
Li (0.8750, 0.8856, 0.5106)
Be (0.2500, 0.7500, 0.5000)
Be (0.5000, 0.5000, 0.0000)
Se (0.0000, 0.0000, 0.0000)
Se (0.7500, 0.2500, 0.5000)

three) # Li2BeSe

A geometry-optimized Li2BeSe structure (PBE-GGA, Alexandria via LeMat-Bulk).

Computed properties:
Spin magnetization   0.0 Bohr magnetons per cell
SG   I-4m2, No. 119

Lattice parameters (Å, degrees): 4.9296 4.9296 4.9296 135.85 135.85 64.22
Element x y z (fractional)
Li (0.0000, 0.0000, 0.0000)
Li (0.7500, 0.2500, 0.5000)
Be (0.5000, 0.5000, 0.0000)
Se (0.2500, 0.7500, 0.5000)

four) # Li2BeSe

A geometry-optimized Li2BeSe structure (PBE-GGA, Alexandria via LeMat-Bulk).

Computed properties:
Spin magnetization   0.0 Bohr magnetons per cell
SG   F-43m, No. 216

Lattice parameters (Å, degrees): 4.4869 4.4869 4.4869 60.00 60.00 60.00
Element x y z (fractional)
Li (0.0000, 0.0000, 0.0000)
Li (0.2500, 0.2500, 0.2500)
Be (0.5000, 0.5000, 0.5000)
Se (0.7500, 0.7500, 0.7500)

Compare the structures above. Which one is the most stable? three) is.